DFT (PBE-GGA) results for a relaxed TlRu2Au crystal.

a b c (Å): 4.273 2.944 5.827
angles (deg): 75.49 90.00 90.00
Element x y z (fractional)
1 Ru 0.000 0.180 0.014
2 Ru 0.500 0.077 0.221
3 Tl 0.000 0.444 0.488
4 Au 0.500 0.798 0.778

Properties
The value obtained for the formation energy is 552 meV/atom. As for the crystal system: monoclinic. The calculation puts the distance to the lowest polymorph of the same formula at 0.89 eV/f.u. The calculation puts the calculated total energy at -21.988 eV for the cell shown. The density of states at the Fermi level comes out at 3.49 states/eV per cell.


DFT (PBE-GGA) results for a relaxed TlRuAu crystal.

a b c (Å): 4.619 4.619 3.034
angles (deg): 90.00 90.00 120.00
Site moments in Bohr magnetons follow the coordinates.
Element x y z (fractional)
1 Au 0.000 0.000 0.967  0.00
2 Ru 0.667 0.333 0.353  0.96
3 Tl 0.333 0.667 0.680  -0.02

Properties
The value obtained for the formation energy is 602 meV/atom. As for the crystal system: trigonal. The calculation puts the distance to the lowest polymorph of the same formula at 0.24 eV/f.u. The calculation puts the calculated total energy at -13.112 eV for the cell shown. The density of states at the Fermi level comes out at 3.17 states/eV per cell.


DFT (PBE-GGA) results for a relaxed TlRuAu crystal.

a b c (Å): 4.496 4.496 4.496
angles (deg): 60.00 60.00 60.00
Element x y z (fractional)
1 Au 0.500 0.500 0.500
2 Tl 0.000 0.000 0.000
3 Ru 0.750 0.750 0.750

Properties
The value obtained for the formation energy is 610 meV/atom. As for the crystal system: cubic. The calculation puts the distance to the lowest polymorph of the same formula at 0.26 eV/f.u. The calculation puts the calculated total energy at -13.091 eV for the cell shown. The density of states at the Fermi level comes out at 3.09 states/eV per cell.


DFT (PBE-GGA) results for a relaxed TlRu4Au crystal.

a b c (Å): 5.226 5.226 5.226
angles (deg): 60.00 60.00 60.00
Site moments in Bohr magnetons follow the coordinates.
Element x y z (fractional)
1 Au 0.000 0.000 0.000  0.06
2 Tl 0.750 0.750 0.750  -0.02
3 Ru 0.374 0.374 0.877  0.79
4 Ru 0.877 0.374 0.374  0.79
5 Ru 0.374 0.374 0.374  0.79
6 Ru 0.374 0.877 0.374  0.79

Properties
The value obtained for the formation energy is 705 meV/atom. As for the crystal system: cubic. The calculation puts the calculated total energy at -38.519 eV for the cell shown. The density of states at the Fermi level comes out at 9.18 states/eV per cell.